# 1
## Zn2PRu (PBE)

Data for an optimized crystal structure of Zn2PRu.

Structure (CIF):
```
data_Zn2PRu
_symmetry_space_group_name_H-M 'I m m 2'
_symmetry_Int_Tables_number 44
_cell_length_a 3.1061
_cell_length_b 4.3299
_cell_length_c 8.7266
_cell_angle_alpha 90.00
_cell_angle_beta 90.00
_cell_angle_gamma 90.00
loop_
_symmetry_equiv_pos_as_xyz
'x,y,z'
'-x,-y,z'
'-x,y,z'
'x,-y,z'
'x+1/2,y+1/2,z+1/2'
'-x+1/2,-y+1/2,z+1/2'
'-x+1/2,y+1/2,z+1/2'
'x+1/2,-y+1/2,z+1/2'
loop_
_atom_site_label
_atom_site_fract_x
_atom_site_fract_y
_atom_site_fract_z
_atom_site_occupancy
Zn1 0.0000 0.0000 0.0000 1
Zn2 0.0000 0.5000 0.2241 1
P1 0.0000 0.0000 0.4595 1
Ru1 0.0000 0.5000 0.7652 1
```

# 2
## Al2IrPb (PBE)

Data for an optimized crystal structure of Al2IrPb.

Structure (CIF):
```
data_Al2IrPb
_symmetry_space_group_name_H-M 'P m m m'
_symmetry_Int_Tables_number 47
_cell_length_a 3.0174
_cell_length_b 3.0309
_cell_length_c 8.4266
_cell_angle_alpha 90.00
_cell_angle_beta 90.00
_cell_angle_gamma 90.00
loop_
_symmetry_equiv_pos_as_xyz
'x,y,z'
'-x,-y,-z'
'-x,-y,z'
'x,y,-z'
'x,-y,-z'
'-x,y,z'
'-x,y,-z'
'x,-y,z'
loop_
_atom_site_label
_atom_site_fract_x
_atom_site_fract_y
_atom_site_fract_z
_atom_site_occupancy
Al1 0.0000 0.0000 0.1800 1
Ir1 0.5000 0.5000 0.0000 1
Pb1 0.0000 0.5000 0.5000 1
```

Calculated volume, 14.67 19.27 Å³ per atom (same order as the records).
Calculated final energy, -34.64 -21.25 eV/cell (same order as the records).